# GGA-PBE ZrTl2Mo, optimized geometry
data_ZrTl2Mo
_chemical_formula_sum 'Zr4 Tl8 Mo4'
_space_group_name_H-M_alt 'F m -3 m'
_space_group_IT_number 225
_space_group_name_Hall '-F 4 2 3'
_cell_length_a 6.9377
_cell_length_b 6.9377
_cell_length_c 6.9377
_cell_angle_alpha 90.00
_cell_angle_beta 90.00
_cell_angle_gamma 90.00
loop_
_atom_site_label
_atom_site_fract_x
_atom_site_fract_y
_atom_site_fract_z
Zr1 0.0000 0.0000 0.0000
Tl1 0.2500 0.2500 0.2500
Mo1 0.0000 0.0000 0.5000
# Energy above the most stable polymorph in this dataset   14.9 kJ per mole of atoms
# Energy relative to the elements   0.48 eV per atom
# M_tot   0.24 μB per atom
# Volume   333.93 Å³/cell